(1)
Y2HoEr5Tm | the Alexandria database | PBE-GGA | relaxed; DOS(E_F) = 1.612 states/eV/atom; total magnetic moment = 0.00 μB per atom; calculated volume = 31.9 A^3/atom; ΔE_f = 0.153 eV per atom; symmetry = Cmc2_1 (36)
1.0
2.7778 -9.8077 0.0000
2.7778 9.8077 0.0000
0.0000 0.0000 10.5329
Y Ho Er Tm
4 2 10 2
Cartesian
2.7778 7.6633 5.2664
2.7778 7.5886 0.8655
2.7778 -7.5886 6.1319
2.7778 -7.6633 0.0000
2.7778 5.8639 8.1498
2.7778 -5.8639 2.8834
2.7778 9.4211 8.3039
2.7778 4.2597 0.7344
2.7778 3.9214 4.9614
2.7778 2.1272 8.2711
2.7778 0.3963 5.2842
2.7778 -0.3963 0.0178
2.7778 -2.1272 3.0046
2.7778 -3.9214 10.2278
2.7778 -4.2597 6.0009
2.7778 -9.4211 3.0375
2.7778 1.7055 2.3442
2.7778 -1.7055 7.6106

=====

(2)
LiRuPb2 | the Alexandria database | PBE-GGA | relaxed; DOS(E_F) = 0.588 states/eV/atom; energy above the lowest structure with this stoichiometry = 66 meV/atom; total magnetic moment = 0.00 μB per atom; calculated volume = 22.4 A^3/atom; ΔE_f = 0.173 eV per atom; symmetry = Imm2 (44)
1.0
-1.6038 2.2255 6.2624
1.6038 -2.2255 6.2624
1.6038 2.2255 -6.2624
Li Ru Pb
1 1 2
Cartesian
0.0000 0.0000 0.0000
0.0000 2.2255 3.9349
1.6038 0.0000 4.2155
0.0000 0.0000 7.7549

=====

(3)
CaZn2InPd4 | the Alexandria database | PBE-GGA | relaxed; DOS(E_F) = 0.402 states/eV/atom; total magnetic moment = 0.00 μB per atom; calculated volume = 17.0 A^3/atom; ΔE_f = -0.534 eV per atom; symmetry = R-3m (166)
1.0
2.2911 1.3228 7.4872
-2.2911 1.3228 7.4872
0.0000 -2.6456 7.4872
Ca Zn In Pd
1 2 1 4
Cartesian
0.0000 0.0000 0.0000
0.0000 0.0000 5.6675
0.0000 0.0000 16.7943
0.0000 0.0000 11.2309
0.0000 0.0000 2.9074
0.0000 0.0000 8.5507
0.0000 0.0000 13.9110
0.0000 0.0000 19.5543

=====

(4)
LaY6Er4 | the Alexandria database | PBE-GGA | relaxed; DOS(E_F) = 1.578 states/eV/atom; total magnetic moment = 0.14 μB per atom; calculated volume = 34.6 A^3/atom; ΔE_f = 0.318 eV per atom; symmetry = P-6m2 (187)
1.0
9.1065 0.0000 0.0000
-4.5532 7.8864 0.0000
0.0000 0.0000 5.2996
La Y Er
1 6 4
Cartesian
0.0000 0.0000 0.0000
0.0000 3.2671 2.6498
-1.7239 6.2529 2.6498
4.5532 0.5561 0.0000
2.7582 3.6652 0.0000
1.7239 6.2529 2.6498
6.3483 3.6652 0.0000
0.0000 5.2576 0.0000
2.8017 1.6175 2.6498
6.3048 1.6175 2.6498
4.5532 4.6513 2.6498

=====

(5)
CeDy2Tc | the Alexandria database | PBE-GGA | relaxed; DOS(E_F) = 2.267 states/eV/atom; energy above the lowest structure with this stoichiometry = 256 meV/atom; total magnetic moment = 0.54 μB per atom; calculated volume = 26.3 A^3/atom; ΔE_f = 0.079 eV per atom; symmetry = P4/mmm (123)
1.0
3.4468 0.0000 0.0000
0.0000 3.4468 0.0000
0.0000 0.0000 8.8639
Ce Dy Tc
1 2 1
Cartesian
0.0000 0.0000 0.0000
1.7234 1.7234 2.7811
1.7234 1.7234 6.0829
0.0000 0.0000 4.4320

=====

(6)
SrCa2Be | the Alexandria database | PBE-GGA | relaxed; DOS(E_F) = 0.811 states/eV/atom; total magnetic moment = 0.00 μB per atom; calculated volume = 37.4 A^3/atom; ΔE_f = 0.325 eV per atom; symmetry = R-3m (166)
1.0
2.0162 1.1640 10.6220
-2.0162 1.1640 10.6220
0.0000 -2.3281 10.6220
Sr Ca Be
1 2 1
Cartesian
0.0000 0.0000 0.0000
0.0000 0.0000 7.1336
0.0000 0.0000 24.7323
0.0000 0.0000 15.9330